[1]
The following is a SCAN calculation of Ba3FePb at its PBEsol-relaxed geometry, from Alexandria.

Formation energy, eV/atom: 0.12
N(E_F), states/eV per cell: 4.76

Lattice parameters (Å, degrees): 5.682 5.682 5.682 90.00 90.00 90.00
Fractional coordinates of all 5 atoms:
Ba (0.000, 0.000, 0.500)
Ba (0.000, 0.500, 0.000)
Ba (0.500, 0.000, 0.000)
Fe (0.000, 0.000, 0.000)
Pb (0.500, 0.500, 0.500)



[2]
The following is a SCAN calculation of K2FeH12S2O14 at its PBEsol-relaxed geometry, from Alexandria.

E_tot, Ry per atom: -0.5367

Lattice parameters (Å, degrees): 6.155 12.032 8.952 90.00 103.42 90.00
Fractional coordinates of all 62 atoms:
K (0.165, 0.161, 0.366)
K (0.165, 0.339, 0.866)
K (0.835, 0.661, 0.134)
K (0.835, 0.839, 0.634)
Fe (0.500, 0.000, 0.000)
Fe (0.500, 0.500, 0.500)
H (0.164, 0.562, 0.614)
H (0.164, 0.938, 0.114)
H (0.166, 0.647, 0.474)
H (0.166, 0.853, 0.974)
H (0.172, 0.087, 0.778)
H (0.172, 0.413, 0.278)
H (0.408, 0.125, 0.744)
H (0.408, 0.375, 0.244)
H (0.414, 0.603, 0.222)
H (0.414, 0.897, 0.722)
H (0.490, 0.696, 0.351)
H (0.490, 0.804, 0.851)
H (0.510, 0.196, 0.149)
H (0.510, 0.304, 0.649)
H (0.586, 0.103, 0.278)
H (0.586, 0.397, 0.778)
H (0.592, 0.625, 0.756)
H (0.592, 0.875, 0.256)
H (0.828, 0.587, 0.722)
H (0.828, 0.913, 0.222)
H (0.834, 0.147, 0.026)
H (0.834, 0.353, 0.526)
H (0.836, 0.062, 0.886)
H (0.836, 0.438, 0.386)
S (0.219, 0.635, 0.911)
S (0.219, 0.865, 0.411)
S (0.781, 0.135, 0.589)
S (0.781, 0.365, 0.089)
O (0.074, 0.734, 0.905)
O (0.074, 0.766, 0.405)
O (0.111, 0.558, 0.784)
O (0.111, 0.942, 0.284)
O (0.207, 0.570, 0.513)
O (0.207, 0.930, 0.013)
O (0.240, 0.576, 0.059)
O (0.240, 0.924, 0.559)
O (0.325, 0.115, 0.827)
O (0.325, 0.385, 0.327)
O (0.444, 0.669, 0.891)
O (0.444, 0.831, 0.391)
O (0.475, 0.119, 0.178)
O (0.475, 0.381, 0.678)
O (0.525, 0.619, 0.322)
O (0.525, 0.881, 0.822)
O (0.556, 0.169, 0.609)
O (0.556, 0.331, 0.109)
O (0.675, 0.615, 0.673)
O (0.675, 0.885, 0.173)
O (0.760, 0.076, 0.441)
O (0.760, 0.424, 0.941)
O (0.793, 0.070, 0.987)
O (0.793, 0.430, 0.487)
O (0.889, 0.058, 0.716)
O (0.889, 0.442, 0.216)
O (0.926, 0.234, 0.595)
O (0.926, 0.266, 0.095)



[3]
The following is a SCAN calculation of NbGaSiC2 at its PBEsol-relaxed geometry, from Alexandria.

Formation energy (no corrections), eV per atom: 2.05
N(E_F), states/eV per cell: 3.07

Lattice parameters (Å, degrees): 3.789 3.789 5.009 90.00 90.00 90.00
Fractional coordinates of all 5 atoms:
Nb (0.000, 0.000, 0.000)
Ga (0.500, 0.500, 0.500)
Si (0.500, 0.500, 0.000)
C (0.000, 0.500, 0.500)
C (0.500, 0.000, 0.500)



[4]
The following is a SCAN calculation of Al2GaGeMo at its PBEsol-relaxed geometry, from Alexandria.

Formation energy, eV/atom: 1.15
N(E_F), states/eV per cell: 2.44

Lattice parameters (Å, degrees): 4.693 4.693 4.695 90.00 90.00 90.00
Fractional coordinates of all 5 atoms:
Al (0.000, 0.500, 0.000)
Al (0.500, 0.000, 0.000)
Ga (0.000, 0.000, 0.000)
Ge (0.000, 0.000, 0.500)
Mo (0.500, 0.500, 0.500)



[5]
The following is a SCAN calculation of OsSI3 at its PBEsol-relaxed geometry, from Alexandria.

Formation energy (no corrections), eV per atom: 1.66
N(E_F), states/eV per cell: 6.58

Lattice parameters (Å, degrees): 5.354 5.354 5.354 90.00 90.00 90.00
Fractional coordinates of all 5 atoms:
Os (0.000, 0.000, 0.000)
S (0.500, 0.500, 0.500)
I (0.000, 0.500, 0.500)
I (0.500, 0.000, 0.500)
I (0.500, 0.500, 0.000)



[6]
The following is a SCAN calculation of CsCaBi2 at its PBEsol-relaxed geometry, from Alexandria.

Formation energy, eV/atom: -0.29
N(E_F), states/eV per cell: 10.29

Lattice parameters (Å, degrees): 8.291 8.291 8.291 90.00 90.00 90.00
Fractional coordinates of all 16 atoms:
Cs (0.000, 0.000, 0.000)
Cs (0.000, 0.500, 0.500)
Cs (0.500, 0.000, 0.500)
Cs (0.500, 0.500, 0.000)
Ca (0.000, 0.000, 0.500)
Ca (0.000, 0.500, 0.000)
Ca (0.500, 0.000, 0.000)
Ca (0.500, 0.500, 0.500)
Bi (0.250, 0.250, 0.250)
Bi (0.250, 0.250, 0.750)
Bi (0.250, 0.750, 0.250)
Bi (0.250, 0.750, 0.750)
Bi (0.750, 0.250, 0.250)
Bi (0.750, 0.250, 0.750)
Bi (0.750, 0.750, 0.250)
Bi (0.750, 0.750, 0.750)



[7]
The following is a SCAN calculation of Na2SiIr at its PBEsol-relaxed geometry, from Alexandria.

Formation energy (no corrections), eV per atom: 0.24
N(E_F), states/eV per cell: 8.28

Lattice parameters (Å, degrees): 10.875 10.875 4.478 90.00 90.00 90.00
Fractional coordinates of all 16 atoms:
Na (0.047, 0.250, 0.125)
Na (0.250, 0.547, 0.375)
Na (0.250, 0.953, 0.875)
Na (0.453, 0.250, 0.625)
Na (0.547, 0.750, 0.625)
Na (0.750, 0.047, 0.875)
Na (0.750, 0.453, 0.375)
Na (0.953, 0.750, 0.125)
Si (0.000, 0.000, 0.500)
Si (0.000, 0.500, 0.750)
Si (0.500, 0.000, 0.250)
Si (0.500, 0.500, 0.000)
Ir (0.000, 0.000, 0.000)
Ir (0.000, 0.500, 0.250)
Ir (0.500, 0.000, 0.750)
Ir (0.500, 0.500, 0.500)



[8]
The following is a SCAN calculation of Co2TcBr at its PBEsol-relaxed geometry, from Alexandria.

Formation energy (no corrections), eV per atom: 1.14
N(E_F), states/eV per cell: 9.32

Lattice parameters (Å, degrees): 5.953 5.953 5.953 90.00 90.00 90.00
Fractional coordinates of all 16 atoms:
Co (0.250, 0.250, 0.250)
Co (0.250, 0.250, 0.750)
Co (0.250, 0.750, 0.250)
Co (0.250, 0.750, 0.750)
Co (0.750, 0.250, 0.250)
Co (0.750, 0.250, 0.750)
Co (0.750, 0.750, 0.250)
Co (0.750, 0.750, 0.750)
Tc (0.000, 0.000, 0.000)
Tc (0.000, 0.500, 0.500)
Tc (0.500, 0.000, 0.500)
Tc (0.500, 0.500, 0.000)
Br (0.000, 0.000, 0.500)
Br (0.000, 0.500, 0.000)
Br (0.500, 0.000, 0.000)
Br (0.500, 0.500, 0.500)



[9]
The following is a SCAN calculation of HgTe2Se at its PBEsol-relaxed geometry, from Alexandria.

Formation energy (no corrections), eV per atom: 0.25
N(E_F), states/eV per cell: 7.74

Lattice parameters (Å, degrees): 3.246 3.246 34.502 90.00 90.00 120.00
Fractional coordinates of all 12 atoms:
Hg (0.000, 0.000, 0.000)
Hg (0.333, 0.667, 0.667)
Hg (0.667, 0.333, 0.333)
Te (0.000, 0.000, 0.420)
Te (0.000, 0.000, 0.580)
Te (0.333, 0.667, 0.087)
Te (0.333, 0.667, 0.246)
Te (0.667, 0.333, 0.754)
Te (0.667, 0.333, 0.913)
Se (0.000, 0.000, 0.500)
Se (0.333, 0.667, 0.167)
Se (0.667, 0.333, 0.833)



[10]
The following is a SCAN calculation of K2SrSc at its PBEsol-relaxed geometry, from Alexandria.

Formation energy, eV/atom: 0.55
N(E_F), states/eV per cell: 4.29

Lattice parameters (Å, degrees): 5.241 5.241 6.731 90.00 90.00 90.00
Fractional coordinates of all 4 atoms:
K (0.000, 0.500, 0.000)
K (0.500, 0.000, 0.000)
Sr (0.000, 0.000, 0.500)
Sc (0.500, 0.500, 0.500)



[11]
The following is a SCAN calculation of Cu3Pt at its PBEsol-relaxed geometry, from Alexandria.

Formation energy, eV/atom: -0.12
N(E_F), states/eV per cell: 1.41

Lattice parameters (Å, degrees): 2.676 3.521 5.232 90.00 90.00 90.00
Fractional coordinates of all 4 atoms:
Cu (0.000, 0.000, 0.000)
Cu (0.500, 0.500, 0.238)
Cu (0.500, 0.500, 0.762)
Pt (0.000, 0.000, 0.500)



[12]
The following is a SCAN calculation of CoSi3Mo at its PBEsol-relaxed geometry, from Alexandria.

Formation energy (no corrections), eV per atom: 1.12
N(E_F), states/eV per cell: 4.76

Lattice parameters (Å, degrees): 4.629 4.629 4.629 90.00 90.00 90.00
Fractional coordinates of all 5 atoms:
Co (0.000, 0.000, 0.000)
Si (0.000, 0.500, 0.500)
Si (0.500, 0.000, 0.500)
Si (0.500, 0.500, 0.000)
Mo (0.500, 0.500, 0.500)



[13]
The following is a SCAN calculation of Mg2ScTa at its PBEsol-relaxed geometry, from Alexandria.

Formation energy, eV/atom: 0.36
N(E_F), states/eV per cell: 2.37

Lattice parameters (Å, degrees): 4.890 4.890 3.286 90.00 90.00 90.00
Fractional coordinates of all 4 atoms:
Mg (0.000, 0.500, 0.000)
Mg (0.500, 0.000, 0.000)
Sc (0.000, 0.000, 0.500)
Ta (0.500, 0.500, 0.500)



[14]
The following is a SCAN calculation of Li3MgNiO4 at its PBEsol-relaxed geometry, from Alexandria.

Formation energy (no corrections), eV per atom: -1.98

Lattice parameters (Å, degrees): 10.140 10.140 10.140 123.37 123.37 84.26
Fractional coordinates of all 72 atoms:
Li (0.021, 0.408, 0.560)
Li (0.039, 0.479, 0.888)
Li (0.092, 0.152, 0.612)
Li (0.155, 0.047, 0.084)
Li (0.180, 0.111, 0.410)
Li (0.201, 0.770, 0.090)
Li (0.270, 0.680, 0.569)
Li (0.348, 0.461, 0.940)
Li (0.389, 0.299, 0.069)
Li (0.429, 0.345, 0.392)
Li (0.453, 0.037, 0.108)
Li (0.463, 0.071, 0.416)
Li (0.537, 0.929, 0.584)
Li (0.547, 0.963, 0.892)
Li (0.571, 0.655, 0.608)
Li (0.611, 0.701, 0.931)
Li (0.652, 0.539, 0.060)
Li (0.730, 0.320, 0.431)
Li (0.799, 0.230, 0.910)
Li (0.820, 0.889, 0.590)
Li (0.845, 0.953, 0.916)
Li (0.908, 0.848, 0.388)
Li (0.961, 0.521, 0.112)
Li (0.979, 0.592, 0.440)
Mg (0.079, 0.226, 0.936)
Mg (0.209, 0.857, 0.436)
Mg (0.274, 0.709, 0.853)
Mg (0.357, 0.421, 0.647)
Mg (0.643, 0.579, 0.353)
Mg (0.726, 0.291, 0.147)
Mg (0.791, 0.143, 0.564)
Mg (0.921, 0.774, 0.064)
Ni (0.076, 0.325, 0.274)
Ni (0.175, 0.950, 0.751)
Ni (0.301, 0.576, 0.251)
Ni (0.450, 0.199, 0.774)
Ni (0.550, 0.801, 0.226)
Ni (0.699, 0.424, 0.749)
Ni (0.825, 0.050, 0.249)
Ni (0.924, 0.675, 0.726)
O (0.005, 0.963, 0.336)
O (0.018, 0.847, 0.982)
O (0.092, 0.781, 0.499)
O (0.093, 0.592, 0.811)
O (0.127, 0.669, 0.164)
O (0.169, 0.505, 0.542)
O (0.218, 0.407, 0.999)
O (0.243, 0.238, 0.355)
O (0.262, 0.116, 0.004)
O (0.281, 0.282, 0.689)
O (0.347, 0.864, 0.829)
O (0.364, 0.035, 0.518)
O (0.384, 0.888, 0.145)
O (0.388, 0.743, 0.504)
O (0.463, 0.627, 0.958)
O (0.465, 0.482, 0.329)
O (0.535, 0.518, 0.671)
O (0.537, 0.373, 0.042)
O (0.612, 0.257, 0.496)
O (0.616, 0.112, 0.855)
O (0.636, 0.965, 0.482)
O (0.653, 0.136, 0.171)
O (0.719, 0.718, 0.311)
O (0.738, 0.884, 0.996)
O (0.757, 0.762, 0.645)
O (0.782, 0.593, 0.001)
O (0.831, 0.495, 0.458)
O (0.873, 0.331, 0.836)
O (0.907, 0.408, 0.189)
O (0.908, 0.219, 0.501)
O (0.982, 0.153, 0.018)
O (0.995, 0.037, 0.664)



[15]
The following is a SCAN calculation of OsRhAu3 at its PBEsol-relaxed geometry, from Alexandria.

Formation energy, eV/atom: 1.70
N(E_F), states/eV per cell: 6.23

Lattice parameters (Å, degrees): 4.864 4.864 4.864 90.00 90.00 90.00
Fractional coordinates of all 5 atoms:
Os (0.000, 0.000, 0.000)
Rh (0.500, 0.500, 0.500)
Au (0.000, 0.000, 0.500)
Au (0.000, 0.500, 0.000)
Au (0.500, 0.000, 0.000)



[16]
The following is a SCAN calculation of La3NdCu2O8 at its PBEsol-relaxed geometry, from Alexandria.

Formation energy (no corrections), eV per atom: -2.91
N(E_F), states/eV per cell: 0.79

Lattice parameters (Å, degrees): 3.946 3.946 12.413 90.00 90.00 90.00
Fractional coordinates of all 14 atoms:
La (0.000, 0.000, 0.000)
La (0.000, 0.000, 0.299)
La (0.500, 0.500, 0.504)
Nd (0.500, 0.500, 0.799)
Cu (0.000, 0.000, 0.656)
Cu (0.500, 0.500, 0.150)
O (0.000, 0.500, 0.150)
O (0.000, 0.500, 0.402)
O (0.000, 0.500, 0.655)
O (0.000, 0.500, 0.898)
O (0.500, 0.000, 0.150)
O (0.500, 0.000, 0.402)
O (0.500, 0.000, 0.655)
O (0.500, 0.000, 0.898)



[17]
The following is a SCAN calculation of YTeCl2 at its PBEsol-relaxed geometry, from Alexandria.

Formation energy (no corrections), eV per atom: -1.18
N(E_F), states/eV per cell: 2.66

Lattice parameters (Å, degrees): 4.469 4.469 4.679 90.00 90.00 90.00
Fractional coordinates of all 4 atoms:
Y (0.000, 0.000, 0.000)
Te (0.500, 0.500, 0.000)
Cl (0.000, 0.500, 0.500)
Cl (0.500, 0.000, 0.500)



[18]
The following is a SCAN calculation of CaTaIn2 at its PBEsol-relaxed geometry, from Alexandria.

Formation energy, eV/atom: 0.14
N(E_F), states/eV per cell: 4.59

Lattice parameters (Å, degrees): 9.704 3.076 6.216 90.00 96.99 90.00
Fractional coordinates of all 8 atoms:
Ca (0.000, 0.000, 0.000)
Ca (0.500, 0.500, 0.000)
Ta (0.000, 0.500, 0.500)
Ta (0.500, 0.000, 0.500)
In (0.245, 0.000, 0.718)
In (0.255, 0.500, 0.282)
In (0.745, 0.500, 0.718)
In (0.755, 0.000, 0.282)



[19]
The following is a SCAN calculation of Mg3Tc2 at its PBEsol-relaxed geometry, from Alexandria.

Formation energy, eV/atom: 0.19
N(E_F), states/eV per cell: 2.84

Lattice parameters (Å, degrees): 12.113 11.984 2.798 85.95 80.73 13.32
Fractional coordinates of all 5 atoms:
Mg (0.000, 0.000, 0.000)
Mg (0.388, 0.388, 0.612)
Mg (0.612, 0.612, 0.388)
Tc (0.208, 0.208, 0.792)
Tc (0.792, 0.792, 0.208)



[20]
The following is a SCAN calculation of LaAg4Pb at its PBEsol-relaxed geometry, from Alexandria.

Formation energy, eV/atom: -0.26
N(E_F), states/eV per cell: 1.63

Lattice parameters (Å, degrees): 5.628 5.628 5.628 60.00 60.00 60.00
Fractional coordinates of all 6 atoms:
La (0.000, 0.000, 0.000)
Ag (0.125, 0.625, 0.625)
Ag (0.625, 0.125, 0.625)
Ag (0.625, 0.625, 0.125)
Ag (0.625, 0.625, 0.625)
Pb (0.250, 0.250, 0.250)



[21]
The following is a SCAN calculation of CeSi2Ir at its PBEsol-relaxed geometry, from Alexandria.

Formation energy (no corrections), eV per atom: -1.05
N(E_F), states/eV per cell: 11.64

Lattice parameters (Å, degrees): 4.143 16.725 4.149 90.00 90.00 90.00
Fractional coordinates of all 16 atoms:
Ce (0.000, 0.106, 0.250)
Ce (0.000, 0.894, 0.750)
Ce (0.500, 0.394, 0.750)
Ce (0.500, 0.606, 0.250)
Si (0.000, 0.250, 0.750)
Si (0.000, 0.464, 0.250)
Si (0.000, 0.536, 0.750)
Si (0.000, 0.750, 0.250)
Si (0.500, 0.036, 0.750)
Si (0.500, 0.250, 0.250)
Si (0.500, 0.750, 0.750)
Si (0.500, 0.964, 0.250)
Ir (0.000, 0.324, 0.250)
Ir (0.000, 0.676, 0.750)
Ir (0.500, 0.176, 0.750)
Ir (0.500, 0.824, 0.250)



Let's list magnetization in order: 2.07, 8.00, 0.86, 3.71, 4.55, 0.00, 0.00, 24.16, 0.00, 1.10, 0.00, 2.87, 0.00, 8.35, 3.53, 0.00, 0.01, 1.78, 0.00, 0.00, 0.01 μB per cell.